# 1
## Al2GaSn2 (PBE-GGA)

Data for a relaxed Al2GaSn2 crystal.

Lattice parameters (Å, degrees): 8.3380 8.3380 3.3067 90.00 90.00 90.00
Last column: nearest neighbours and their distance in Å.
Positions (direct):
Al  0.1312  0.3688  0.0000  6 Sn 2.92-2.98, 1 Al 3.09
Al  0.3688  0.8688  0.0000  6 Sn 2.92-2.98, 1 Al 3.09
Al  0.6312  0.1312  0.0000  6 Sn 2.92-2.98, 1 Al 3.09
Al  0.8688  0.6312  0.0000  6 Sn 2.92-2.98, 1 Al 3.09
Ga  0.0000  0.0000  0.5000  4 Sn 3.12, 2 Ga 3.31
Ga  0.5000  0.5000  0.5000  4 Sn 3.12, 2 Ga 3.31
Sn  0.1643  0.6643  0.5000  6 Al 2.92-2.98, 2 Ga 3.12
Sn  0.3357  0.1643  0.5000  6 Al 2.92-2.98, 2 Ga 3.12
Sn  0.6643  0.8357  0.5000  6 Al 2.92-2.98, 2 Ga 3.12
Sn  0.8357  0.3357  0.5000  6 Al 2.92-2.98, 2 Ga 3.12

Calculated values
The density of states at the Fermi level comes out at 5.09 states/eV per cell. The calculation puts the distance to the lowest polymorph of the same formula at 0.18 eV/f.u.

# 2
## Al2GaSn (PBE-GGA)

Data for a relaxed Al2GaSn crystal.

Lattice parameters (Å, degrees): 6.1229 6.1229 6.1229 103.20 103.20 122.91
Last column: nearest neighbours and their distance in Å.
Positions (direct):
Al  0.1008  0.1250  0.4758  2 Ga 2.66, 2 Sn 2.92, 2 Al 2.95
Al  0.3750  0.8992  0.0242  2 Ga 2.66, 2 Sn 2.92, 2 Al 2.95
Al  0.6492  0.6250  0.5242  2 Ga 2.66, 2 Sn 2.92, 2 Al 2.95
Al  0.8750  0.3508  0.9758  2 Ga 2.66, 2 Sn 2.92, 2 Al 2.95
Ga  0.0000  0.0000  0.0000  4 Al 2.66, 2 Sn 2.93
Ga  0.7500  0.2500  0.5000  4 Al 2.66, 2 Sn 2.93
Sn  0.2500  0.7500  0.5000  4 Al 2.92, 2 Ga 2.93
Sn  0.5000  0.5000  0.0000  4 Al 2.92, 2 Ga 2.93

Calculated values
The density of states at the Fermi level comes out at 4.96 states/eV per cell. The calculation puts the distance to the lowest polymorph of the same formula at 0.16 eV/f.u.

# 3
## AlGa4Sn (PBE-GGA)

Data for a relaxed AlGa4Sn crystal.

Lattice parameters (Å, degrees): 5.6015 5.6015 5.6015 60.00 60.00 60.00
Last column: nearest neighbours and their distance in Å.
Positions (direct):
Al  0.0000  0.0000  0.0000  12 Ga 3.28, 4 Sn 3.43
Ga  0.1243  0.6252  0.6252  6 Ga 2.80-2.81
Ga  0.6252  0.1243  0.6252  6 Ga 2.80-2.81
Ga  0.6252  0.6252  0.1243  6 Ga 2.80-2.81
Ga  0.6252  0.6252  0.6252  6 Ga 2.80-2.81
Sn  0.2500  0.2500  0.2500  12 Ga 3.28, 4 Al 3.43

Calculated values
The density of states at the Fermi level comes out at 3.51 states/eV per cell.

# 4
## Al2GaSn (PBE-GGA)

Data for a relaxed Al2GaSn crystal.

Lattice parameters (Å, degrees): 6.0615 6.0615 6.0615 41.09 41.09 41.09
Last column: nearest neighbours and their distance in Å.
Positions (direct):
Al  0.0000  0.0000  0.0000  3 Ga 2.71, 3 Sn 2.90
Al  0.1894  0.1894  0.1894  3 Ga 2.76, 3 Sn 2.93
Ga  0.5983  0.5983  0.5983  6 Al 2.71-2.76, 1 Sn 2.86
Sn  0.4263  0.4263  0.4263  1 Ga 2.86, 6 Al 2.90-2.93

Calculated values
The density of states at the Fermi level comes out at 1.83 states/eV per cell. The calculation puts the distance to the lowest polymorph of the same formula at 0.00 eV/f.u.

| no. | energy (eV per cell) | calculated volume (Å³ per atom) | formation enthalpy at 0 K (eV/f.u.) |
| --- | --- | --- | --- |
| 1 | -35.1 | 22.99 | 0.97 |
| 2 | -27.7 | 21.16 | 0.69 |
| 3 | -19.0 | 20.71 | 0.87 |
| 4 | -14.0 | 21.72 | 0.53 |